Entry 1:
Below is NaPr2PaS4 after structural relaxation, with properties calculated at the GGA-PBE level.

The calculated total energy comes out at -6.3642 eV per atom. The value obtained for the density of states at the Fermi level is 0.721 states/eV/atom. Its space group is P2/m. The calculation puts the magnetization at 0.78 μB/f.u.

```
8
Lattice="6.956 0.000 0.000 0.000 4.001 0.000 -2.284 0.000 6.642" Properties=species:S:1:pos:R:3 pbc="T T T"
Na 0.000 0.000 0.000
Pr 2.336 0.000 3.321
Pr 3.478 2.001 0.000
Pa -1.142 2.001 3.321
S -0.069 0.000 4.939
S 1.074 2.001 1.678
S 3.597 2.001 4.964
S 4.740 0.000 1.704
```

***

Entry 2:
Below is Na2PrPaSe4 after structural relaxation, with properties calculated at the GGA-PBE level.

The calculated total energy comes out at -5.3113 eV per atom. The value obtained for the density of states at the Fermi level is 0.858 states/eV/atom. Its space group is P2/m. The calculation puts the magnetization at 1.90 μB/f.u.

```
8
Lattice="7.309 0.000 0.000 0.000 4.183 0.000 -2.400 0.000 7.101" Properties=species:S:1:pos:R:3 pbc="T T T"
Na 0.000 0.000 0.000
Na 3.654 2.091 0.000
Pr -1.200 2.091 3.551
Pa 2.455 0.000 3.551
Se 0.105 0.000 5.255
Se 1.289 2.091 1.867
Se 3.620 2.091 5.234
Se 4.804 0.000 1.846
```

***

Entry 3:
Below is NaPr2PaSe5 after structural relaxation, with properties calculated at the GGA-PBE level.

The calculated total energy comes out at -5.6296 eV per atom. The value obtained for the density of states at the Fermi level is 0.682 states/eV/atom. Its space group is Immm. The calculation puts the magnetization at 0.67 μB/f.u.

```
9
Lattice="-2.652 3.728 7.327 2.652 -3.728 7.327 2.652 3.728 -7.327" Properties=species:S:1:pos:R:3 pbc="T T T"
Na 0.000 0.000 0.000
Pr 2.652 0.000 4.373
Pr 0.000 3.728 2.955
Pa 0.000 0.000 7.327
Se 2.652 1.915 -2.163
Se 2.652 1.915 2.163
Se 0.000 3.728 0.000
Se 0.000 1.813 5.165
Se 0.000 1.813 9.490
```

***

Entry 4:
Below is Na3PrPa2Te6 after structural relaxation, with properties calculated at the GGA-PBE level.

The calculated total energy comes out at -4.8821 eV per atom. The value obtained for the density of states at the Fermi level is 1.052 states/eV/atom. Its space group is C2/m. The calculation puts the magnetization at 3.80 μB/f.u.

```
12
Lattice="3.820 -6.618 0.000 3.820 6.618 0.000 -2.549 0.000 7.747" Properties=species:S:1:pos:R:3 pbc="T T T"
Na 0.000 0.000 0.000
Na 3.820 2.149 0.000
Na 3.820 -2.149 0.000
Pr 2.545 0.000 3.873
Pa 2.545 4.405 3.873
Pa 2.545 -4.405 3.873
Te 1.237 2.263 2.007
Te -0.070 0.000 5.732
Te 1.237 -2.263 2.007
Te 3.853 2.263 5.740
Te 5.160 0.000 2.014
Te 3.853 -2.263 5.740
```

***

Entry 5:
Below is Na3Pr2PaTe6 after structural relaxation, with properties calculated at the GGA-PBE level.

The calculated total energy comes out at -4.6462 eV per atom. The value obtained for the density of states at the Fermi level is 0.775 states/eV/atom. Its space group is C2/m. The calculation puts the magnetization at 1.80 μB/f.u.

```
12
Lattice="3.898 -6.751 0.000 3.898 6.751 0.000 -2.602 0.000 7.626" Properties=species:S:1:pos:R:3 pbc="T T T"
Na 0.000 0.000 0.000
Na 3.898 2.300 0.000
Na 3.898 -2.300 0.000
Pr 2.597 4.507 3.813
Pr 2.597 -4.507 3.813
Pa 2.597 0.000 3.813
Te 1.336 2.188 1.973
Te 0.076 0.000 5.653
Te 1.336 -2.188 1.973
Te 3.858 2.188 5.653
Te 5.117 0.000 1.974
Te 3.858 -2.188 5.653
```

***

Entry 6:
Below is NaPaPt4 after structural relaxation, with properties calculated at the GGA-PBE level.

The value obtained for the energy relative to the elements is -72.3 kJ/mol of atoms. The value obtained for the density of states at the Fermi level is 0.463 states/eV/atom. Its space group is F-43m. The calculation puts the magnetization at 0.00 μB/f.u.

```
6
Lattice="0.000 3.806 3.806 3.806 0.000 3.806 3.806 3.806 0.000" Properties=species:S:1:pos:R:3 pbc="T T T"
Na 0.000 0.000 0.000
Pa 1.903 1.903 1.903
Pt 4.761 2.850 2.850
Pt 2.850 4.761 2.850
Pt 2.850 2.850 4.761
Pt 4.761 4.761 4.761
```

***

Entry 7:
Below is Na2Pa2Pt15 after structural relaxation, with properties calculated at the GGA-PBE level.

The value obtained for the energy relative to the elements is -39.1 kJ/mol of atoms. The value obtained for the density of states at the Fermi level is 0.930 states/eV/atom. Its space group is R-3m. The calculation puts the magnetization at 0.62 μB/f.u.

```
19
Lattice="4.700 2.714 4.612 -4.700 2.714 4.612 0.000 -5.427 4.612" Properties=species:S:1:pos:R:3 pbc="T T T"
Na 0.000 0.000 1.798
Na 0.000 0.000 12.039
Pa 0.000 0.000 5.389
Pa 0.000 0.000 8.448
Pt -2.350 -1.357 4.612
Pt 0.000 -2.709 4.444
Pt -2.346 1.354 4.444
Pt -1.430 -2.477 6.919
Pt -2.860 0.000 6.919
Pt -2.346 -1.354 9.393
Pt -2.350 1.357 9.225
Pt 1.430 -2.477 6.919
Pt 0.000 2.714 4.612
Pt -1.430 2.477 6.919
Pt 2.346 1.354 4.444
Pt 2.860 0.000 6.919
Pt 1.430 2.477 6.919
Pt 2.346 -1.354 9.393
Pt 0.000 2.709 9.393
```

***

Entry 8:
Below is NaPaPt after structural relaxation, with properties calculated at the GGA-PBE level.

The value obtained for the energy relative to the elements is 0.0 kJ/mol of atoms. The value obtained for the density of states at the Fermi level is 1.493 states/eV/atom. Its space group is Amm2. The calculation puts the magnetization at 0.00 μB/f.u.

```
6
Lattice="16.358 0.000 0.000 0.000 1.518 2.629 0.000 -1.518 2.629" Properties=species:S:1:pos:R:3 pbc="T T T"
Na 2.373 0.000 0.000
Na 13.985 0.000 0.000
Pa 5.679 0.000 1.780
Pa 10.679 0.000 1.780
Pt 0.000 0.000 1.750
Pt 8.179 0.000 0.028
```

***

Entry 9:
Below is NaPaPtS3 after structural relaxation, with properties calculated at the GGA-PBE level.

The calculated total energy comes out at -6.1237 eV per atom. Its space group is Cmcm. The calculation puts the magnetization at 0.04 μB/f.u.

```
12
Lattice="1.974 -6.568 0.000 1.974 6.568 0.000 0.000 0.000 10.126" Properties=species:S:1:pos:R:3 pbc="T T T"
Na 1.974 3.372 7.595
Na 1.974 -3.372 2.532
Pa 0.000 0.000 0.000
Pa 0.000 0.000 5.063
Pt 1.974 0.402 2.532
Pt 1.974 -0.402 7.595
S 1.974 5.514 2.532
S 1.974 1.783 0.559
S 1.974 1.783 4.504
S 1.974 -1.783 5.622
S 1.974 -1.783 9.567
S 1.974 -5.514 7.595
```

***

Entry 10:
Below is Na4Pa3PtS8 after structural relaxation, with properties calculated at the GGA-PBE level.

The calculated total energy comes out at -5.8086 eV per atom. The value obtained for the density of states at the Fermi level is 0.963 states/eV/atom. Its space group is C2/m. The calculation puts the magnetization at 3.69 μB/f.u.

```
16
Lattice="7.162 -3.707 0.000 7.162 3.707 0.000 -4.525 0.000 6.873" Properties=species:S:1:pos:R:3 pbc="T T T"
Na 0.000 0.000 0.000
Na 3.581 1.854 0.000
Na 3.581 -1.854 0.000
Na 7.162 0.000 0.000
Pa -2.262 0.000 3.436
Pa 1.318 1.854 3.436
Pa 1.318 -1.854 3.436
Pt 4.899 0.000 3.436
S 2.132 0.000 1.618
S 0.010 0.000 5.018
S 3.728 1.718 4.851
S 6.071 1.718 2.021
S 3.728 -1.718 4.851
S 6.071 -1.718 2.021
S 9.789 0.000 1.855
S 7.666 0.000 5.255
```

***

Entry 11:
Below is Na3Pa3PtS8 after structural relaxation, with properties calculated at the GGA-PBE level.

The calculated total energy comes out at -6.0129 eV per atom. The value obtained for the density of states at the Fermi level is 1.054 states/eV/atom. Its space group is C2/m. The calculation puts the magnetization at 2.71 μB/f.u.

```
15
Lattice="6.535 -4.071 0.000 6.535 4.071 0.000 -4.237 0.000 6.745" Properties=species:S:1:pos:R:3 pbc="T T T"
Na 0.000 0.000 0.000
Na 3.268 2.036 0.000
Na 3.268 -2.036 0.000
Pa 1.149 2.036 3.372
Pa 1.149 -2.036 3.372
Pa 4.417 0.000 3.372
Pt -2.118 0.000 3.372
S -0.129 0.000 4.720
S 2.154 0.000 1.796
S 3.252 1.826 4.976
S 5.582 1.826 1.768
S 3.252 -1.826 4.976
S 5.582 -1.826 1.768
S 6.680 0.000 4.948
S 8.963 0.000 2.025
```

***

Entry 12:
Below is Na4Pa3PtSe8 after structural relaxation, with properties calculated at the GGA-PBE level.

The calculated total energy comes out at -5.3347 eV per atom. The value obtained for the density of states at the Fermi level is 1.108 states/eV/atom. Its space group is C2/m. The calculation puts the magnetization at 3.97 μB/f.u.

```
16
Lattice="7.374 -3.868 0.000 7.374 3.868 0.000 -4.821 0.000 7.215" Properties=species:S:1:pos:R:3 pbc="T T T"
Na 0.000 0.000 0.000
Na 3.687 1.934 0.000
Na 3.687 -1.934 0.000
Na 7.374 0.000 0.000
Pa -2.411 0.000 3.607
Pa 1.276 1.934 3.607
Pa 1.276 -1.934 3.607
Pt 4.963 0.000 3.607
Se 2.213 0.000 1.729
Se -0.056 0.000 5.309
Se 3.774 1.783 5.140
Se 6.153 1.783 2.075
Se 3.774 -1.783 5.140
Se 6.153 -1.783 2.075
Se 9.983 0.000 1.906
Se 7.714 0.000 5.486
```

***

Entry 13:
Below is Na3Pa3PtSe8 after structural relaxation, with properties calculated at the GGA-PBE level.

The calculated total energy comes out at -5.5140 eV per atom. The value obtained for the density of states at the Fermi level is 1.369 states/eV/atom. Its space group is C2/m. The calculation puts the magnetization at 3.35 μB/f.u.

```
15
Lattice="6.844 -4.110 0.000 6.844 4.110 0.000 -4.466 0.000 7.188" Properties=species:S:1:pos:R:3 pbc="T T T"
Na 0.000 0.000 0.000
Na 3.422 2.055 0.000
Na 3.422 -2.055 0.000
Pa 1.189 2.055 3.594
Pa 1.189 -2.055 3.594
Pa 4.611 0.000 3.594
Pt -2.233 0.000 3.594
Se -0.145 0.000 5.118
Se 3.458 2.003 5.259
Se 2.285 0.000 1.879
Se 5.764 2.003 1.929
Se 3.458 -2.003 5.259
Se 6.938 0.000 5.309
Se 5.764 -2.003 1.929
Se 9.368 0.000 2.070
```

***

Entry 14:
Below is NaPaSi2Pt2 after structural relaxation, with properties calculated at the GGA-PBE level.

The calculated total energy comes out at -6.3059 eV per atom. The value obtained for the density of states at the Fermi level is 0.948 states/eV/atom. Its space group is P-3m1. The calculation puts the magnetization at 0.00 μB/f.u.

```
6
Lattice="4.210 0.000 0.000 -2.105 3.646 0.000 0.000 0.000 7.879" Properties=species:S:1:pos:R:3 pbc="T T T"
Na 0.000 0.000 0.000
Pa 0.000 0.000 3.939
Si 0.000 2.431 5.897
Si 2.105 1.215 1.982
Pt 0.000 2.431 2.188
Pt 2.105 1.215 5.691
```

***

Entry 15:
Below is Na3Pu2PaS6 after structural relaxation, with properties calculated at the GGA-PBE level.

The calculated total energy comes out at -7.1293 eV per atom. The value obtained for the density of states at the Fermi level is 1.803 states/eV/atom. Its space group is C2/m. The calculation puts the magnetization at 12.00 μB/f.u.

```
12
Lattice="3.495 -6.053 0.000 3.495 6.053 0.000 -2.332 0.000 6.655" Properties=species:S:1:pos:R:3 pbc="T T T"
Na 0.000 0.000 0.000
Na 3.495 2.035 0.000
Na 3.495 -2.035 0.000
Pu 2.329 4.035 3.328
Pu 2.329 -4.035 3.328
Pa 2.329 0.000 3.328
S 1.195 1.966 1.805
S 0.059 0.000 4.840
S 1.195 -1.966 1.805
S 3.464 1.966 4.850
S 4.599 0.000 1.815
S 3.464 -1.966 4.850
```

***

Entry 16:
Below is NaPuPaS4 after structural relaxation, with properties calculated at the GGA-PBE level.

The calculated total energy comes out at -7.5208 eV per atom. The value obtained for the density of states at the Fermi level is 2.025 states/eV/atom. Its space group is Imma. The calculation puts the magnetization at 6.00 μB/f.u.

```
14
Lattice="-4.100 4.103 5.817 4.100 -4.103 5.817 4.100 4.103 -5.817" Properties=species:S:1:pos:R:3 pbc="T T T"
Na 0.000 2.052 1.520
Na 4.100 2.052 4.297
Pu 2.050 2.052 -2.908
Pu 2.050 -2.052 2.908
Pa 4.100 0.000 0.000
Pa 0.000 0.000 5.817
S 4.100 -0.178 2.668
S 2.299 2.052 -0.103
S 5.900 2.052 -0.103
S 4.100 3.925 -2.668
S 0.000 0.178 8.485
S -1.801 2.052 5.920
S 1.801 2.052 5.920
S 0.000 4.282 3.149
```

***

Entry 17:
Below is Na4Pu3PaS8 after structural relaxation, with properties calculated at the GGA-PBE level.

The calculated total energy comes out at -7.2349 eV per atom. The value obtained for the density of states at the Fermi level is 1.647 states/eV/atom. Its space group is R-3m. The calculation puts the magnetization at 17.00 μB/f.u.

```
16
Lattice="4.040 2.332 6.643 -4.040 2.332 6.643 0.000 -4.665 6.643" Properties=species:S:1:pos:R:3 pbc="T T T"
Na 0.000 0.000 0.000
Na -2.020 -1.166 6.643
Na -2.020 1.166 13.286
Na 0.000 2.332 6.643
Pu -4.040 0.000 9.964
Pu -2.020 1.166 3.321
Pu 2.020 1.166 3.321
Pa 0.000 0.000 9.964
S 0.000 0.000 4.825
S -1.968 -1.136 11.475
S 0.000 -2.272 8.454
S -1.968 1.136 8.454
S 1.968 -1.136 11.475
S 0.000 2.272 11.475
S 1.968 1.136 8.454
S 0.000 0.000 15.104
```

***

Entry 18:
Below is Na4PuPa3Se8 after structural relaxation, with properties calculated at the GGA-PBE level.

The calculated total energy comes out at -6.0651 eV per atom. The value obtained for the density of states at the Fermi level is 1.392 states/eV/atom. Its space group is R-3m. The calculation puts the magnetization at 11.01 μB/f.u.

```
16
Lattice="4.120 2.379 7.153 -4.120 2.379 7.153 0.000 -4.757 7.153" Properties=species:S:1:pos:R:3 pbc="T T T"
Na 0.000 0.000 0.000
Na -2.060 -1.189 7.153
Na -2.060 1.189 14.306
Na 0.000 2.379 7.153
Pu 0.000 0.000 10.729
Pa -4.120 0.000 10.729
Pa -2.060 1.189 3.576
Pa 2.060 1.189 3.576
Se -2.090 -1.207 12.420
Se 0.000 0.000 5.283
Se 0.000 -2.414 9.039
Se -2.090 1.207 9.039
Se 2.090 -1.207 12.420
Se 0.000 2.414 12.420
Se 0.000 0.000 16.176
Se 2.090 1.207 9.039
```

***

Entry 19:
Below is Na2PuPa2Se6 after structural relaxation, with properties calculated at the GGA-PBE level.

The calculated total energy comes out at -6.5323 eV per atom. The value obtained for the density of states at the Fermi level is 1.702 states/eV/atom. Its space group is C2/m. The calculation puts the magnetization at 8.00 μB/f.u.

```
11
Lattice="3.599 -6.256 0.000 3.599 6.256 0.000 -2.371 0.000 7.067" Properties=species:S:1:pos:R:3 pbc="T T T"
Na 3.599 4.192 0.000
Na 3.599 -4.192 0.000
Pu -1.186 0.000 3.533
Pa 2.413 2.061 3.533
Pa 2.413 -2.061 3.533
Se 0.036 2.150 5.144
Se 1.260 0.000 1.897
Se 0.036 -2.150 5.144
Se 4.790 2.150 1.923
Se 3.566 0.000 5.170
Se 4.790 -2.150 1.923
```

***

Entry 20:
Below is Na4Pu3PaSe8 after structural relaxation, with properties calculated at the GGA-PBE level.

The calculated total energy comes out at -6.7608 eV per atom. The value obtained for the density of states at the Fermi level is 2.105 states/eV/atom. Its space group is R-3m. The calculation puts the magnetization at 17.00 μB/f.u.

```
16
Lattice="4.207 2.429 6.963 -4.207 2.429 6.963 0.000 -4.857 6.963" Properties=species:S:1:pos:R:3 pbc="T T T"
Na 0.000 0.000 0.000
Na -2.103 -1.214 6.963
Na -2.103 1.214 13.926
Na 0.000 2.429 6.963
Pu -4.207 0.000 10.444
Pu -2.103 1.214 3.481
Pu 2.103 1.214 3.481
Pa 0.000 0.000 10.444
Se 0.000 0.000 5.091
Se -2.052 -1.184 12.057
Se 0.000 -2.369 8.832
Se -2.052 1.184 8.832
Se 2.052 -1.184 12.057
Se 0.000 2.369 12.057
Se 2.052 1.184 8.831
Se 0.000 0.000 15.798
```